Hf2CrPt2 after structural relaxation. Source: Alexandria, functional PBE.

Calculated values
- DOS at the Fermi energy (states/eV/atom) = 0.5399
- formation energy (kJ/mol of formula units) = -326
- space group = No. 127
- calculated total energy (Ha/atom) = -0.3307

Cell: 7.460 7.460 3.365 Å, 90.00 90.00 90.00°
Fractional positions:
Hf (0.168, 0.332, 0.000)
Hf (0.332, 0.832, 0.000)
Hf (0.668, 0.168, 0.000)
Hf (0.832, 0.668, 0.000)
Cr (0.000, 0.000, 0.500)
Cr (0.500, 0.500, 0.500)
Pt (0.135, 0.635, 0.500)
Pt (0.365, 0.135, 0.500)
Pt (0.635, 0.865, 0.500)
Pt (0.865, 0.365, 0.500)



HfCr2Pt after structural relaxation. Source: Alexandria, functional PBE.

Calculated values
- DOS at the Fermi energy (states/eV/atom) = 1.2671
- formation energy (kJ/mol of formula units) = 15
- space group = No. 225
- calculated total energy (Ha/atom) = -0.3224

Cell: 4.397 4.397 4.397 Å, 60.00 60.00 60.00°
Fractional positions:
Hf (0.000, 0.000, 0.000)
Cr (0.250, 0.250, 0.250)
Cr (0.750, 0.750, 0.750)
Pt (0.500, 0.500, 0.500)



HfCr2Pt after structural relaxation. Source: Alexandria, functional PBE.

Calculated values
- DOS at the Fermi energy (states/eV/atom) = 1.9194
- formation energy (kJ/mol of formula units) = 168
- space group = No. 122
- calculated total energy (Ha/atom) = -0.3078

Cell: 5.680 5.680 5.680 Å, 101.87 101.87 126.06°
Fractional positions:
Hf (0.000, 0.000, 0.000)
Hf (0.750, 0.250, 0.500)
Cr (0.149, 0.625, 0.024)
Cr (0.375, 0.399, 0.524)
Cr (0.601, 0.125, 0.976)
Cr (0.875, 0.851, 0.476)
Pt (0.250, 0.750, 0.500)
Pt (0.500, 0.500, 0.000)



HfCrSnPt2 after structural relaxation. Source: Alexandria, functional PBE.

Calculated values
- DOS at the Fermi energy (states/eV/atom) = 1.4236
- formation energy (kJ/mol of formula units) = 737
- space group = No. 123
- calculated total energy (Ha/atom) = -0.2059

Cell: 4.861 4.861 5.196 Å, 90.00 90.00 90.00°
Fractional positions:
Hf (0.000, 0.000, 0.000)
Cr (0.500, 0.500, 0.000)
Sn (0.000, 0.000, 0.500)
Pt (0.000, 0.500, 0.500)
Pt (0.500, 0.000, 0.500)